Here is a relaxed structure of Fe6CoPt12 from Alexandria. Energies are from PBE.

```
data_Fe6CoPt12
_chemical_formula_sum 'Fe18 Co3 Pt36'
_space_group_name_H-M_alt 'R -3'
_space_group_IT_number 148
_space_group_name_Hall '-R 3'
_cell_length_a 11.9447
_cell_length_b 11.9447
_cell_length_c 6.7069
_cell_angle_alpha 90.00
_cell_angle_beta 90.00
_cell_angle_gamma 120.00
loop_
_atom_site_label
_atom_site_type_symbol
_atom_site_fract_x
_atom_site_fract_y
_atom_site_fract_z
Fe1 Fe 0.0311 0.7516 0.3358
Co1 Co 0.0000 0.0000 0.0000
Pt1 Pt 0.0107 0.8706 0.6651
Pt2 Pt 0.0674 0.5080 0.6722
```

Output
E ... -7.05 eV/atom
Crystal system ... trigonal
Theoretical density ... 16.4 g/cm3
DFT formation energy ... -0.185 eV per atom